(1)
Ba6Li2Ag | GGA-PBE | optimized geometry

a b c (Å): 18.230 4.392 13.397
angles (deg): 90.00 126.92 90.00
Space group C2/m (No. 12)
Symmetry-distinct sites (fractional):
Ba 0.029 0.000 0.184 (multiplicity 4)
Ba 0.167 0.500 0.541 (multiplicity 4)
Ba 0.224 0.500 0.116 (multiplicity 4)
Li 0.068 0.500 0.693 (multiplicity 4)
Ag 0.000 0.000 0.500 (multiplicity 2)

- Density: 3.7 g/cm3
- Crystal system: monoclinic
- Final energy: -2.027 eV per atom

***

(2)
Ba4LiAg2 | GGA-PBE | optimized geometry

a b c (Å): 13.883 10.042 9.392
angles (deg): 90.00 109.44 90.00
Space group Cm (No. 8)
Symmetry-distinct sites (fractional):
Ba 0.000 0.000 0.000 (multiplicity 2)
Ba 0.002 0.000 0.511 (multiplicity 2)
Ba 0.014 0.500 0.011 (multiplicity 2)
Ba 0.017 0.500 0.514 (multiplicity 2)
Ba 0.280 0.261 0.145 (multiplicity 4)
Ba 0.289 0.259 0.652 (multiplicity 4)
Li 0.205 0.000 0.860 (multiplicity 2)
Li 0.216 0.000 0.362 (multiplicity 2)
Ag 0.082 0.245 0.796 (multiplicity 4)
Ag 0.213 0.500 0.862 (multiplicity 2)
Ag 0.224 0.500 0.370 (multiplicity 2)

- Density: 4.2 g/cm3
- Crystal system: monoclinic
- Energy above the lowest structure with this stoichiometry: 0 meV per atom